Record 1
Crystalline InMo2Os at its relaxed geometry. Source: Alexandria via LeMat-Bulk, functional PBE.

abc: 4.533 4.533 4.533
angles: 60.00 60.00 60.00
Sites, in units of the cell vectors:
1 Mo 0.000 0.000 0.000
2 Mo 0.250 0.250 0.250
3 Os 0.750 0.750 0.750
4 In 0.500 0.500 0.500

Properties
Energy of formation from the pure elements: 142 kJ/mol of formula units

---

Record 2
Crystalline Pa2AgSb4 at its relaxed geometry. Source: Alexandria via LeMat-Bulk, functional PBE.

abc: 4.357 4.357 9.852
angles: 90.00 90.00 90.00
Site moments in Bohr magnetons follow the coordinates.
Sites, in units of the cell vectors:
1 Sb 0.500 0.000 0.178  -0.02
2 Sb 0.000 0.000 0.500  -0.01
3 Ag 0.500 0.500 0.000  0.00
4 Sb 0.500 0.500 0.500  -0.01
5 Pa 0.500 0.000 0.742  0.57
6 Sb 0.000 0.500 0.822  -0.02
7 Pa 0.000 0.500 0.258  0.57

Properties
ΔE_f (raw): -38 kJ/mol of atoms

---

Number 1: VASP energy -8.539 eV per atom, volume 16.47 A^3/atom. Number 2: VASP energy -5.867 eV per atom, volume 26.72 A^3/atom.